Material: Th3Ni7Sn2
Method: DFT, PBE
State: relaxed

Lattice parameters (Å, degrees): 10.070 10.070 4.882 90.00 90.00 154.14
Element x y z (fractional)
1 Th 0.000 0.000 0.000
2 Th 0.176 0.824 0.000
3 Th 0.824 0.176 0.000
4 Ni 0.072 0.928 0.500
5 Ni 0.226 0.774 0.500
6 Ni 0.413 0.587 0.000
7 Ni 0.500 0.500 0.500
8 Ni 0.587 0.413 0.000
9 Ni 0.774 0.226 0.500
10 Ni 0.928 0.072 0.500
11 Sn 0.360 0.640 0.500
12 Sn 0.640 0.360 0.500

Formation energy in eV/atom: -0.275
Electronic total energy in eV/atom: -6.169

=====

Material: Li2PtAu
Method: DFT, PBE
State: relaxed

Lattice parameters (Å, degrees): 3.964 3.964 3.680 90.00 90.00 90.00
Element x y z (fractional)
1 Li 0.000 0.500 0.000
2 Li 0.500 0.000 0.000
3 Pt 0.000 0.000 0.500
4 Au 0.500 0.500 0.500

Formation energy in eV/atom: -0.546
Electronic total energy in eV/atom: -3.832

=====

Material: SmTm3Cl
Method: DFT, PBE
State: relaxed

Lattice parameters (Å, degrees): 5.229 5.229 5.229 90.00 90.00 90.00
Element x y z (fractional)
1 Sm 0.000 0.000 0.000
2 Tm 0.000 0.500 0.500
3 Tm 0.500 0.000 0.500
4 Tm 0.500 0.500 0.000
5 Cl 0.500 0.500 0.500

Electronic total energy in eV/atom: -4.402
Energy relative to the elements, uncorrected in eV/atom: -0.4056

=====

Material: NdY10Th4
Method: DFT, PBE
State: relaxed

Lattice parameters (Å, degrees): 8.752 8.752 8.752 112.55 112.55 103.48
Element x y z (fractional)
1 Nd 0.000 0.000 0.000
2 Y 0.132 0.226 0.672
3 Y 0.226 0.555 0.095
4 Y 0.250 0.750 0.500
5 Y 0.445 0.540 0.672
6 Y 0.460 0.132 0.905
7 Y 0.540 0.868 0.095
8 Y 0.555 0.460 0.328
9 Y 0.750 0.250 0.500
10 Y 0.774 0.445 0.905
11 Y 0.868 0.774 0.328
12 Th 0.064 0.661 0.725
13 Th 0.339 0.064 0.403
14 Th 0.661 0.936 0.597
15 Th 0.936 0.339 0.275

Formation energy in eV/atom: 0.383
Electronic total energy in eV/atom: -6.223

=====

Material: PrZnPb2
Method: DFT, PBE
State: relaxed

Lattice parameters (Å, degrees): 4.833 4.833 4.613 90.00 90.00 90.00
Element x y z (fractional)
1 Pr 0.000 0.000 0.000
2 Zn 0.500 0.500 0.000
3 Pb 0.000 0.500 0.500
4 Pb 0.500 0.000 0.500

Formation energy in eV/atom: -0.325
Energy above the lowest structure with this stoichiometry in eV per atom: 0.000
Electronic total energy in eV/atom: -3.692

=====

Material: Ca2PrAl2As4
Method: DFT, PBE
State: relaxed

Lattice parameters (Å, degrees): 7.928 7.928 7.271 107.25 107.25 30.21
Element x y z (fractional)
1 Ca 0.126 0.126 0.052
2 Ca 0.874 0.874 0.948
3 Pr 0.000 0.000 0.500
4 Al 0.325 0.325 0.510
5 Al 0.675 0.675 0.490
6 As 0.215 0.215 0.713
7 As 0.473 0.473 0.778
8 As 0.527 0.527 0.222
9 As 0.785 0.785 0.287

Formation energy in eV/atom: -0.870
Electronic total energy in eV/atom: -4.744

=====

Q: What is the formula in the first record?
A: Th3Ni7Sn2